Run w
First-principles (PBE-GGA) data for a relaxed structure of TlCdIn2Cu, as listed in Alexandria.

Cell lengths 5.137, 5.137, 5.110 Å; angles 90.00, 90.00, 90.00 degrees
Space group P4/mmm (No. 123)
Symmetry-distinct sites (fractional):
Tl1 0.000 0.000 0.000
Cd1 0.500 0.500 0.000
In1 0.000 0.500 0.500
Cu1 0.500 0.500 0.500

Values from the calculation:
As for the total magnetization: 0.0 μB/f.u. The density of states at the Fermi level is 2.53 states/eV/cell. For the volume, the calculation gives 27.0 Å³/atom.


Run x
First-principles (PBE-GGA) data for a relaxed structure of TlCdIn2Cu, as listed in Alexandria.

Cell lengths 5.078, 5.078, 5.418 Å; angles 90.00, 90.00, 90.00 degrees
Space group P4/mmm (No. 123)
Symmetry-distinct sites (fractional):
Tl1 0.000 0.000 0.000
Cd1 0.500 0.500 0.000
In1 0.000 0.500 0.500
Cu1 0.000 0.000 0.500

Values from the calculation:
As for the total magnetization: 0.0 μB/f.u. The density of states at the Fermi level is 2.85 states/eV/cell. For the volume, the calculation gives 27.9 Å³/atom.


run w has the most favorable energy; the next structure is 57 meV per atom above.


Run w
First-principles (PBE-GGA) data for a relaxed structure of Cd2Cu2Ir, as listed in Alexandria.

Cell lengths 6.472, 6.472, 3.934 Å; angles 90.00, 90.00, 90.00 degrees
Space group P4/mbm (No. 127)
Symmetry-distinct sites (fractional):
Cd1 0.179 0.321 0.000
Cu1 0.129 0.629 0.500
Ir1 0.000 0.000 0.500

Values from the calculation:
As for the total magnetization: 0.0 μB/f.u. The density of states at the Fermi level is 5.06 states/eV/cell. For the volume, the calculation gives 16.5 Å³/atom.


Run x
First-principles (PBE-GGA) data for a relaxed structure of Cd2Cu2Ir, as listed in Alexandria.

Cell lengths 3.884, 3.884, 11.319 Å; angles 90.00, 90.00, 90.00 degrees
Space group I4/mmm (No. 139)
Symmetry-distinct sites (fractional):
Cd1 0.000 0.500 0.250
Cu1 0.000 0.000 0.096
Ir1 0.000 0.000 0.500

Values from the calculation:
As for the total magnetization: 0.0 μB/f.u. The density of states at the Fermi level is 7.47 states/eV/cell. For the volume, the calculation gives 17.1 Å³/atom.


run w has the most favorable energy; the next structure is 427 meV per atom above.


Run w
First-principles (PBE-GGA) data for a relaxed structure of K2CdCu2, as listed in Alexandria.

Cell lengths 7.226, 7.226, 5.244 Å; angles 90.00, 90.00, 90.00 degrees
Space group P4/mbm (No. 127)
Symmetry-distinct sites (fractional):
K1 0.179 0.321 0.000
Cd1 0.000 0.000 0.500
Cu1 0.120 0.620 0.500

Values from the calculation:
As for the total magnetization: 0.0 μB/f.u. The density of states at the Fermi level is 3.54 states/eV/cell. For the volume, the calculation gives 27.4 Å³/atom.


Run x
First-principles (PBE-GGA) data for a relaxed structure of K2CdCu2, as listed in Alexandria.

Cell lengths 6.442, 6.442, 7.627 Å; angles 90.00, 90.00, 90.00 degrees
Space group I4/mmm (No. 139)
Symmetry-distinct sites (fractional):
K1 0.000 0.500 0.250
Cd1 0.000 0.000 0.000
Cu1 0.000 0.000 0.345

Values from the calculation:
As for the total magnetization: 0.0 μB/f.u. The density of states at the Fermi level is 5.43 states/eV/cell. For the volume, the calculation gives 31.7 Å³/atom.


run w has the most favorable energy; the next structure is 38 meV per atom above.


Run w
First-principles (PBE-GGA) data for a relaxed structure of KNaCd2Cu, as listed in Alexandria.

Cell lengths 5.177, 5.177, 5.871 Å; angles 90.00, 90.00, 90.00 degrees
Space group P4/mmm (No. 123)
Symmetry-distinct sites (fractional):
K1 0.000 0.000 0.000
Na1 0.500 0.500 0.000
Cd1 0.000 0.500 0.500
Cu1 0.000 0.000 0.500

Values from the calculation:
As for the total magnetization: 0.0 μB/f.u. The density of states at the Fermi level is 1.33 states/eV/cell. For the volume, the calculation gives 31.5 Å³/atom.


Run x
First-principles (PBE-GGA) data for a relaxed structure of KNaCd2Cu, as listed in Alexandria.

Cell lengths 5.177, 5.177, 5.546 Å; angles 90.00, 90.00, 90.00 degrees
Space group P4/mmm (No. 123)
Symmetry-distinct sites (fractional):
K1 0.000 0.000 0.000
Na1 0.500 0.500 0.000
Cd1 0.000 0.500 0.500
Cu1 0.500 0.500 0.500

Values from the calculation:
As for the total magnetization: 0.0 μB/f.u. The density of states at the Fermi level is 1.96 states/eV/cell. For the volume, the calculation gives 29.7 Å³/atom.


run x has the most favorable energy; the next structure is 87 meV per atom above.


Run w
First-principles (PBE-GGA) data for a relaxed structure of KCdCuTc2, as listed in Alexandria.

Cell lengths 4.615, 4.615, 5.285 Å; angles 90.00, 90.00, 90.00 degrees
Space group P4/mmm (No. 123)
Symmetry-distinct sites (fractional):
K1 0.000 0.000 0.000
Cd1 0.000 0.000 0.500
Cu1 0.500 0.500 0.500
Tc1 0.000 0.500 0.000

Values from the calculation:
As for the total magnetization: 3.4 μB/f.u. The density of states at the Fermi level is 3.83 states/eV/cell. For the volume, the calculation gives 22.5 Å³/atom.


Run x
First-principles (PBE-GGA) data for a relaxed structure of KCdCuTc2, as listed in Alexandria.

Cell lengths 4.779, 4.779, 5.494 Å; angles 90.00, 90.00, 90.00 degrees
Space group P4/mmm (No. 123)
Symmetry-distinct sites (fractional):
K1 0.000 0.000 0.000
Cd1 0.500 0.500 0.000
Cu1 0.000 0.000 0.500
Tc1 0.000 0.500 0.500

Values from the calculation:
As for the total magnetization: 5.8 μB/f.u. The density of states at the Fermi level is 4.50 states/eV/cell. For the volume, the calculation gives 25.1 Å³/atom.


run x has the most favorable energy; the next structure is 1236 meV per atom above.


Run w
First-principles (PBE-GGA) data for a relaxed structure of LaCd2Cu2, as listed in Alexandria.

Cell lengths 10.218, 4.200, 5.214 Å; angles 90.00, 104.40, 90.00 degrees
Space group C2/m (No. 12)
Symmetry-distinct sites (fractional):
La1 0.000 0.000 0.000
Cd1 0.148 0.500 0.571
Cu1 0.225 0.500 0.115

Values from the calculation:
As for the total magnetization: 0.0 μB/f.u. The density of states at the Fermi level is 5.31 states/eV/cell. For the volume, the calculation gives 21.7 Å³/atom.


Run x
First-principles (PBE-GGA) data for a relaxed structure of LaCd2Cu2, as listed in Alexandria.

Cell lengths 8.074, 8.074, 3.122 Å; angles 90.00, 90.00, 90.00 degrees
Space group P4/mbm (No. 127)
Symmetry-distinct sites (fractional):
La1 0.000 0.000 0.000
Cd1 0.169 0.331 0.500
Cu1 0.119 0.619 0.000

Values from the calculation:
As for the total magnetization: 0.0 μB/f.u. The density of states at the Fermi level is 6.29 states/eV/cell. For the volume, the calculation gives 20.3 Å³/atom.


run w has the most favorable energy; the next structure is 215 meV per atom above.


Run w
First-principles (PBE-GGA) data for a relaxed structure of La6Cd2Cu, as listed in Alexandria.

Cell lengths 6.543, 8.169, 12.391 Å; angles 90.00, 118.76, 90.00 degrees
Space group P2_1/c (No. 14)
Symmetry-distinct sites (fractional):
La1 0.098 0.157 0.467
La2 0.347 0.703 0.457
La3 0.392 0.036 0.256
Cd1 0.138 0.111 0.761
Cu1 0.000 0.000 0.000

Values from the calculation:
As for the total magnetization: 0.0 μB/f.u. The density of states at the Fermi level is 25.16 states/eV/cell. For the volume, the calculation gives 32.3 Å³/atom.


Run x
First-principles (PBE-GGA) data for a relaxed structure of La6Cd2Cu, as listed in Alexandria.

Cell lengths 9.1532, 9.1532, 3.8702 Å; angles 90.00, 90.00, 120.00 degrees
Space group P-62m (No. 189)
Symmetry-distinct sites (fractional):
La1 0.0000 0.4026 0.0000
La2 0.0000 0.7529 0.5000
Cd1 0.3333 0.6667 0.5000
Cu1 0.0000 0.0000 0.0000

Values from the calculation:
As for the total magnetization: 0.0 μB/f.u. The density of states at the Fermi level is 9.72 states/eV/cell. For the volume, the calculation gives 31.2 Å³/atom.


run x has the most favorable energy; the next structure is 90 meV per atom above.


Run w
First-principles (PBE-GGA) data for a relaxed structure of La2Cd2Cu, as listed in Alexandria.

Cell lengths 7.186, 7.186, 5.211 Å; angles 90.00, 90.00, 90.00 degrees
Space group P4/mbm (No. 127)
Symmetry-distinct sites (fractional):
La1 0.163 0.337 0.000
Cd1 0.145 0.645 0.500
Cu1 0.000 0.000 0.500

Values from the calculation:
As for the total magnetization: 0.0 μB/f.u. The density of states at the Fermi level is 14.12 states/eV/cell. For the volume, the calculation gives 26.9 Å³/atom.


Run x
First-principles (PBE-GGA) data for a relaxed structure of La2Cd2Cu, as listed in Alexandria.

Cell lengths 7.667, 7.667, 5.081 Å; angles 90.00, 90.00, 90.00 degrees
Space group P4/mbm (No. 127)
Symmetry-distinct sites (fractional):
La1 0.145 0.355 0.000
Cd1 0.153 0.653 0.500
Cu1 0.000 0.000 0.000

Values from the calculation:
As for the total magnetization: 0.0 μB/f.u. The density of states at the Fermi level is 16.60 states/eV/cell. For the volume, the calculation gives 29.9 Å³/atom.


Run y
First-principles (PBE-GGA) data for a relaxed structure of La2Cd2Cu, as listed in Alexandria.

Cell lengths 3.967, 3.967, 18.143 Å; angles 90.00, 90.00, 90.00 degrees
Space group I4/mmm (No. 139)
Symmetry-distinct sites (fractional):
La1 0.000 0.000 0.088
Cd1 0.000 0.500 0.250
Cu1 0.000 0.000 0.500

Values from the calculation:
As for the total magnetization: 0.0 μB/f.u. The density of states at the Fermi level is 12.82 states/eV/cell. For the volume, the calculation gives 28.5 Å³/atom.


Run z
First-principles (PBE-GGA) data for a relaxed structure of La2Cd2Cu, as listed in Alexandria.

Cell lengths 6.288, 6.288, 7.752 Å; angles 90.00, 90.00, 90.00 degrees
Space group I4/mmm (No. 139)
Symmetry-distinct sites (fractional):
La1 0.000 0.500 0.250
Cd1 0.000 0.000 0.168
Cu1 0.000 0.000 0.500

Values from the calculation:
As for the total magnetization: 0.9 μB/f.u. The density of states at the Fermi level is 8.56 states/eV/cell. For the volume, the calculation gives 30.6 Å³/atom.


run w has the most favorable energy; the next structure is 134 meV per atom above.


Run w
First-principles (PBE-GGA) data for a relaxed structure of LaCd4Cu, as listed in Alexandria.

Cell lengths 8.319, 8.319, 8.319 Å; angles 90.00, 90.00, 90.00 degrees
Space group F-43m (No. 216)
Symmetry-distinct sites (fractional):
La1 0.000 0.000 0.000
Cd1 0.125 0.125 0.625
Cu1 0.250 0.250 0.250

Values from the calculation:
As for the total magnetization: 0.0 μB/f.u. The density of states at the Fermi level is 19.42 states/eV/cell. For the volume, the calculation gives 24.0 Å³/atom.


Run x
First-principles (PBE-GGA) data for a relaxed structure of LaCd4Cu, as listed in Alexandria.

Cell lengths 8.334, 4.378, 7.598 Å; angles 90.00, 90.00, 90.00 degrees
Space group Pmma (No. 51)
Symmetry-distinct sites (fractional):
La1 0.250 0.000 0.108
Cd1 0.000 0.000 0.500
Cd2 0.060 0.500 0.809
Cd3 0.250 0.500 0.442
Cu1 0.250 0.000 0.714

Values from the calculation:
As for the total magnetization: 0.0 μB/f.u. The density of states at the Fermi level is 6.54 states/eV/cell. For the volume, the calculation gives 23.1 Å³/atom.


run x has the most favorable energy; the next structure is 226 meV per atom above.


Run w
First-principles (PBE-GGA) data for a relaxed structure of Li2CdCu2, as listed in Alexandria.

Cell lengths 2.826, 4.198, 25.951 Å; angles 90.00, 90.00, 90.00 degrees
Space group Imma (No. 74)
Symmetry-distinct sites (fractional):
Li1 0.000 0.250 0.029
Li2 0.000 0.250 0.134
Cd1 0.000 0.250 0.582
Cu1 0.000 0.250 0.288
Cu2 0.000 0.250 0.793

Values from the calculation:
As for the total magnetization: 0.0 μB/f.u. The density of states at the Fermi level is 8.16 states/eV/cell. For the volume, the calculation gives 15.4 Å³/atom.


Run x
First-principles (PBE-GGA) data for a relaxed structure of Li2CdCu2, as listed in Alexandria.

Cell lengths 6.979, 6.979, 3.129 Å; angles 90.00, 90.00, 90.00 degrees
Space group P4/mbm (No. 127)
Symmetry-distinct sites (fractional):
Li1 0.171 0.329 0.000
Cd1 0.000 0.000 0.500
Cu1 0.124 0.624 0.500

Values from the calculation:
As for the total magnetization: 0.0 μB/f.u. The density of states at the Fermi level is 2.87 states/eV/cell. For the volume, the calculation gives 15.2 Å³/atom.


run x has the most favorable energy; the next structure is 16 meV per atom above.


Run w
First-principles (PBE-GGA) data for a relaxed structure of Li2CdCu2, as listed in Alexandria.

Cell lengths 3.721, 3.721, 11.748 Å; angles 90.00, 90.00, 90.00 degrees
Space group I4/mmm (No. 139)
Symmetry-distinct sites (fractional):
Li1 0.000 0.500 0.250
Cd1 0.000 0.000 0.000
Cu1 0.000 0.000 0.400

Values from the calculation:
As for the total magnetization: 0.0 μB/f.u. The density of states at the Fermi level is 3.59 states/eV/cell. For the volume, the calculation gives 16.3 Å³/atom.


Run x
First-principles (PBE-GGA) data for a relaxed structure of Li2CdCu2, as listed in Alexandria.

Cell lengths 7.241, 7.241, 2.789 Å; angles 90.00, 90.00, 90.00 degrees
Space group P4/mbm (No. 127)
Symmetry-distinct sites (fractional):
Li1 0.136 0.364 0.000
Cd1 0.000 0.000 0.000
Cu1 0.156 0.656 0.500

Values from the calculation:
As for the total magnetization: 0.0 μB/f.u. The density of states at the Fermi level is 3.38 states/eV/cell. For the volume, the calculation gives 14.6 Å³/atom.


run x has the most favorable energy; the next structure is 103 meV per atom above.